(1)
# RbBe2Ir | Alexandria via LeMat-Bulk | PBE | relaxed
data_RbBe2Ir
_cell_length_a 5.6649
_cell_length_b 5.6649
_cell_length_c 12.7396
_cell_angle_alpha 90.00
_cell_angle_beta 90.00
_cell_angle_gamma 90.00
_symmetry_space_group_name_H-M 'I 41/a m d'
_symmetry_Int_Tables_number 141
loop_
_symmetry_equiv_pos_as_xyz
'x,y,z'
'-x,-y,-z'
'-y+1/4,x+3/4,z+1/4'
'y+1/4,-x+3/4,-z+1/4'
'-x+1/2,-y,z+1/2'
'x+1/2,y,-z+1/2'
'y+1/4,-x+1/4,z+3/4'
'-y+1/4,x+1/4,-z+3/4'
'x,-y,-z'
'-x,y,z'
'-y+1/4,-x+1/4,-z+3/4'
'y+1/4,x+1/4,z+3/4'
'-x+1/2,y,-z+1/2'
'x+1/2,-y,z+1/2'
'y+1/4,x+3/4,-z+1/4'
'-y+1/4,-x+3/4,z+1/4'
'x+1/2,y+1/2,z+1/2'
'-x+1/2,-y+1/2,-z+1/2'
'-y+3/4,x+1/4,z+3/4'
'y+3/4,-x+1/4,-z+3/4'
'-x,-y+1/2,z'
'x,y+1/2,-z'
'y+3/4,-x+3/4,z+1/4'
'-y+3/4,x+3/4,-z+1/4'
'x+1/2,-y+1/2,-z+1/2'
'-x+1/2,y+1/2,z+1/2'
'-y+3/4,-x+3/4,-z+1/4'
'y+3/4,x+3/4,z+1/4'
'-x,y+1/2,-z'
'x,-y+1/2,z'
'y+3/4,x+1/4,-z+3/4'
'-y+3/4,-x+1/4,z+3/4'
loop_
_atom_site_label
_atom_site_type_symbol
_atom_site_fract_x
_atom_site_fract_y
_atom_site_fract_z
_atom_site_occupancy
Rb1 Rb 0.0000 0.2500 0.3750 1
Be1 Be 0.0000 0.0000 0.0000 1
Ir1 Ir 0.0000 0.2500 0.8750 1
# Calculated total energy ... -3.940 eV/atom
# Energy of formation from the pure elements ... 0.381 eV/atom
# Crystal system ... tetragonal



(2)
# RbBe2Ir | Alexandria via LeMat-Bulk | PBE | relaxed
data_RbBe2Ir
_cell_length_a 6.4577
_cell_length_b 6.4577
_cell_length_c 6.4577
_cell_angle_alpha 90.00
_cell_angle_beta 90.00
_cell_angle_gamma 90.00
_symmetry_space_group_name_H-M 'F m -3 m'
_symmetry_Int_Tables_number 225
_symmetry_space_group_name_Hall '-F 4 2 3'
loop_
_atom_site_label
_atom_site_type_symbol
_atom_site_fract_x
_atom_site_fract_y
_atom_site_fract_z
_atom_site_occupancy
Rb1 Rb 0.0000 0.0000 0.0000 1
Be1 Be 0.2500 0.2500 0.2500 1
Ir1 Ir 0.0000 0.0000 0.5000 1
# Calculated total energy ... -3.119 eV/atom
# Energy of formation from the pure elements ... 1.202 eV/atom
# Crystal system ... cubic



(3)
# RbBeIr3 | Alexandria via LeMat-Bulk | PBE | relaxed
data_RbBeIr3
_cell_length_a 4.4035
_cell_length_b 4.4035
_cell_length_c 4.4035
_cell_angle_alpha 90.00
_cell_angle_beta 90.00
_cell_angle_gamma 90.00
_symmetry_space_group_name_H-M 'P m -3 m'
_symmetry_Int_Tables_number 221
_symmetry_space_group_name_Hall '-P 4 2 3'
loop_
_atom_site_label
_atom_site_type_symbol
_atom_site_fract_x
_atom_site_fract_y
_atom_site_fract_z
_atom_site_occupancy
Rb1 Rb 0.0000 0.0000 0.0000 1
Be1 Be 0.5000 0.5000 0.5000 1
Ir1 Ir 0.0000 0.5000 0.5000 1
# Calculated total energy ... -5.270 eV/atom
# Energy of formation from the pure elements ... 0.985 eV/atom
# Crystal system ... cubic



(4)
# Rb2Be2Ir | Alexandria via LeMat-Bulk | PBE | relaxed
data_Rb2Be2Ir
_cell_length_a 6.4491
_cell_length_b 6.4491
_cell_length_c 5.8494
_cell_angle_alpha 90.00
_cell_angle_beta 90.00
_cell_angle_gamma 90.00
_symmetry_space_group_name_H-M 'P 4/m b m'
_symmetry_Int_Tables_number 127
_symmetry_space_group_name_Hall '-P 4 2ab'
loop_
_atom_site_label
_atom_site_type_symbol
_atom_site_fract_x
_atom_site_fract_y
_atom_site_fract_z
_atom_site_occupancy
Rb1 Rb 0.1754 0.3246 0.0000 1
Be1 Be 0.2273 0.7273 0.5000 1
Ir1 Ir 0.0000 0.0000 0.5000 1
# Calculated total energy ... -3.070 eV/atom
# Energy of formation from the pure elements ... 0.579 eV/atom
# Crystal system ... tetragonal



(5)
# RbBe3Ir | Alexandria via LeMat-Bulk | PBE | relaxed
data_RbBe3Ir
_cell_length_a 4.3835
_cell_length_b 4.3835
_cell_length_c 4.3835
_cell_angle_alpha 90.00
_cell_angle_beta 90.00
_cell_angle_gamma 90.00
_symmetry_space_group_name_H-M 'P m -3 m'
_symmetry_Int_Tables_number 221
_symmetry_space_group_name_Hall '-P 4 2 3'
loop_
_atom_site_label
_atom_site_type_symbol
_atom_site_fract_x
_atom_site_fract_y
_atom_site_fract_z
_atom_site_occupancy
Rb1 Rb 0.0000 0.0000 0.0000 1
Be1 Be 0.0000 0.0000 0.5000 1
Ir1 Ir 0.5000 0.5000 0.5000 1
# Calculated total energy ... -1.283 eV/atom
# Energy of formation from the pure elements ... 2.919 eV/atom
# Crystal system ... cubic



(6)
# Rb3BeIr | Alexandria via LeMat-Bulk | PBE | relaxed
data_Rb3BeIr
_cell_length_a 6.3649
_cell_length_b 6.3649
_cell_length_c 6.3649
_cell_angle_alpha 90.00
_cell_angle_beta 90.00
_cell_angle_gamma 90.00
_symmetry_space_group_name_H-M 'P m -3 m'
_symmetry_Int_Tables_number 221
_symmetry_space_group_name_Hall '-P 4 2 3'
loop_
_atom_site_label
_atom_site_type_symbol
_atom_site_fract_x
_atom_site_fract_y
_atom_site_fract_z
_atom_site_occupancy
Rb1 Rb 0.0000 0.0000 0.5000 1
Be1 Be 0.5000 0.5000 0.5000 1
Ir1 Ir 0.0000 0.0000 0.0000 1
# Calculated total energy ... -1.886 eV/atom
# Energy of formation from the pure elements ... 1.212 eV/atom
# Crystal system ... cubic